No. 1
## Tb3Ho2ThSe6 (GGA-PBE)

Data for Tb3Ho2ThSe6 after structural relaxation.

CIF file:
```
data_Tb3Ho2ThSe6
_chemical_formula_sum 'Tb6 Ho4 Th2 Se12'
_space_group_name_H-M_alt 'C 1 2/m 1'
_space_group_IT_number 12
_space_group_name_Hall '-C 2y'
_cell_length_a 17.8203
_cell_length_b 4.0787
_cell_length_c 8.2610
_cell_angle_alpha 90.00
_cell_angle_beta 102.18
_cell_angle_gamma 90.00
loop_
_atom_site_label
_atom_site_fract_x
_atom_site_fract_y
_atom_site_fract_z
Tb1 0.0000 0.0000 0.0000
Tb2 0.1603 0.5000 0.3346
Ho1 0.1640 0.5000 0.8298
Th1 0.0000 0.0000 0.5000
Se1 0.0027 0.5000 0.7613
Se2 0.1691 0.0000 0.0822
Se3 0.1727 0.0000 0.5902
```

VASP energy = -143.8 eV for the cell shown
Theoretical density = 8.56 g/cm³
E_form (uncorrected) = -1978 kJ/mol of formula units
Total moment = 0.00 μB/cell

No. 2
## Tb3HoTh2Se6 (GGA-PBE)

Data for Tb3HoTh2Se6 after structural relaxation.

CIF file:
```
data_Tb3HoTh2Se6
_chemical_formula_sum 'Tb6 Ho2 Th4 Se12'
_space_group_name_H-M_alt 'C 1 2/m 1'
_space_group_IT_number 12
_space_group_name_Hall '-C 2y'
_cell_length_a 18.0905
_cell_length_b 4.1078
_cell_length_c 8.2994
_cell_angle_alpha 90.00
_cell_angle_beta 104.34
_cell_angle_gamma 90.00
loop_
_atom_site_label
_atom_site_fract_x
_atom_site_fract_y
_atom_site_fract_z
Tb1 0.0000 0.0000 0.0000
Tb2 0.1694 0.5000 0.3338
Ho1 0.0000 0.0000 0.5000
Th1 0.1699 0.5000 0.8406
Se1 0.0021 0.5000 0.2545
Se2 0.1619 0.0000 0.0930
Se3 0.1646 0.0000 0.5759
```

VASP energy = -148.6 eV for the cell shown
Theoretical density = 8.78 g/cm³
E_form (uncorrected) = -1936 kJ/mol of formula units
Total moment = 0.00 μB/cell

No. 3
## TbHoTh2Se5 (GGA-PBE)

Data for TbHoTh2Se5 after structural relaxation.

CIF file:
```
data_TbHoTh2Se5
_chemical_formula_sum 'Tb4 Ho4 Th8 Se20'
_space_group_name_H-M_alt 'C m c 21'
_space_group_IT_number 36
_space_group_name_Hall 'C 2c -2'
_cell_length_a 4.0094
_cell_length_b 17.1869
_cell_length_c 13.3779
_cell_angle_alpha 90.00
_cell_angle_beta 90.00
_cell_angle_gamma 90.00
loop_
_atom_site_label
_atom_site_fract_x
_atom_site_fract_y
_atom_site_fract_z
Tb1 0.0000 0.2154 0.0000
Ho1 0.0000 0.4642 0.4395
Th1 0.0000 0.0987 0.6596
Th2 0.0000 0.1436 0.2993
Se1 0.0000 0.0633 0.0718
Se2 0.0000 0.2733 0.6584
Se3 0.0000 0.3158 0.3443
Se4 0.0000 0.3778 0.9851
Se5 0.0000 0.4852 0.7495
```

VASP energy = -222.6 eV for the cell shown
Theoretical density = 8.52 g/cm³
E_form (uncorrected) = -1369 kJ/mol of formula units
Total moment = 0.00 μB/cell

No. 4
## Tb2HoThSe4 (GGA-PBE)

Data for Tb2HoThSe4 after structural relaxation.

CIF file:
```
data_Tb2HoThSe4
_chemical_formula_sum 'Tb2 Ho1 Th1 Se4'
_space_group_name_H-M_alt 'P 1 2/m 1'
_space_group_IT_number 10
_space_group_name_Hall '-P 2y'
_cell_length_a 7.1205
_cell_length_b 4.0729
_cell_length_c 7.1927
_cell_angle_alpha 90.00
_cell_angle_beta 109.02
_cell_angle_gamma 90.00
loop_
_atom_site_label
_atom_site_fract_x
_atom_site_fract_y
_atom_site_fract_z
Tb1 0.0000 0.0000 0.0000
Tb2 0.0000 0.5000 0.5000
Ho1 0.5000 0.0000 0.5000
Th1 0.5000 0.5000 0.0000
Se1 0.2429 0.0000 0.7400
Se2 0.2489 0.5000 0.2568
```

VASP energy = -48.7 eV for the cell shown
Theoretical density = 8.68 g/cm³
E_form (uncorrected) = -1301 kJ/mol of formula units
Total moment = 0.00 μB/cell

No. 5
## Tb3Ho4ThSe8 (GGA-PBE)

Data for Tb3Ho4ThSe8 after structural relaxation.

CIF file:
```
data_Tb3Ho4ThSe8
_chemical_formula_sum 'Tb9 Ho12 Th3 Se24'
_space_group_name_H-M_alt 'R -3 m'
_space_group_IT_number 166
_space_group_name_Hall '-R 3 2"'
_cell_length_a 8.1684
_cell_length_b 8.1684
_cell_length_c 20.1269
_cell_angle_alpha 90.00
_cell_angle_beta 90.00
_cell_angle_gamma 120.00
loop_
_atom_site_label
_atom_site_fract_x
_atom_site_fract_y
_atom_site_fract_z
Tb1 0.0000 0.5000 0.0000
Ho1 0.0000 0.0000 0.5000
Ho2 0.0000 0.5000 0.5000
Th1 0.0000 0.0000 0.0000
Se1 0.0000 0.0000 0.2486
Se2 0.0049 0.5025 0.2474
```

VASP energy = -284.4 eV for the cell shown
Theoretical density = 8.57 g/cm³
E_form (uncorrected) = -2634 kJ/mol of formula units
Total moment = 0.00 μB/cell

No. 6
## Tb2HoTh3Se6 (GGA-PBE)

Data for Tb2HoTh3Se6 after structural relaxation.

CIF file:
```
data_Tb2HoTh3Se6
_chemical_formula_sum 'Tb4 Ho2 Th6 Se12'
_space_group_name_H-M_alt 'C 1 2/m 1'
_space_group_IT_number 12
_space_group_name_Hall '-C 2y'
_cell_length_a 6.9768
_cell_length_b 12.0056
_cell_length_c 7.5599
_cell_angle_alpha 90.00
_cell_angle_beta 107.70
_cell_angle_gamma 90.00
loop_
_atom_site_label
_atom_site_fract_x
_atom_site_fract_y
_atom_site_fract_z
Tb1 0.0000 0.1662 0.0000
Ho1 0.0000 0.5000 0.0000
Th1 0.0000 0.0000 0.5000
Th2 0.0000 0.3319 0.5000
Se1 0.2431 0.3345 0.2332
Se2 0.2478 0.0000 0.2351
```

VASP energy = -153.4 eV for the cell shown
Theoretical density = 9.10 g/cm³
E_form (uncorrected) = -1899 kJ/mol of formula units
Total moment = 0.00 μB/cell